Entry 1:
Material: TbNd2Se2O2
Method: DFT, PBE-GGA
State: optimized geometry

Structure (POSCAR):
```
TbNd2Se2O2
1.0
4.349 0.000 0.000
0.000 4.349 0.000
-2.175 -2.175 7.815
Tb Nd Se O
1 2 2 2
Cartesian
0.000 0.000 0.000
0.000 0.000 5.827
2.175 2.175 1.988
0.000 0.000 2.830
2.175 2.175 4.985
0.000 2.175 0.000
2.175 0.000 0.000
```

Values from the calculation:
- ΔE_f (raw): -2.34 eV per atom
- DOS(E_F): 2.8 states/eV/cell
- Space group: I4/mmm, No. 139

=====

Entry 2:
Material: NdTlSe2O6
Method: DFT, PBE-GGA
State: optimized geometry

Structure (POSCAR):
```
NdTlSe2O6
1.0
-3.546 3.458 -4.907
3.268 -4.836 -3.815
-5.728 -4.243 3.513
Nd Tl Se O
2 2 4 12
Cartesian
-1.939 -1.302 -3.542
-4.067 -4.319 -1.667
0.735 -4.556 -3.113
-6.741 -1.064 -2.096
-5.481 -2.646 0.867
-5.080 -3.036 -4.591
-0.525 -2.974 -6.076
-0.926 -2.584 -0.618
-3.122 -0.173 -5.368
-3.028 0.336 -2.080
-2.884 -5.447 0.159
-2.977 -5.957 -3.129
-0.364 -1.246 -1.539
-2.056 -3.132 -5.311
-5.642 -4.374 -3.670
-3.950 -2.488 0.102
-1.837 -3.302 -1.949
0.186 -2.013 -4.778
-4.169 -2.318 -3.260
-6.192 -3.608 -0.431
```

Values from the calculation:
- ΔE_f (raw): -1.56 eV per atom
- DOS(E_F): 0.0 states/eV/cell
- Space group: C2/c, No. 15

=====

Entry 3:
Material: NdTmSeO2
Method: DFT, PBE-GGA
State: optimized geometry

Structure (POSCAR):
```
NdTmSeO2
1.0
-4.051 -0.348 -0.228
0.591 -3.071 -5.819
0.139 -5.281 5.594
Nd Tm Se O
2 2 2 4
Cartesian
-0.475 -7.117 1.122
-2.846 -1.582 -1.574
-0.559 -4.364 -1.587
-2.761 -4.335 1.134
-0.882 -4.191 3.885
-2.439 -4.508 -4.337
-2.677 -3.918 -1.012
-0.644 -4.781 0.559
-2.613 -6.432 1.694
-0.708 -2.268 -2.147
```

Values from the calculation:
- ΔE_f (raw): -3.07 eV per atom
- DOS(E_F): 0.0 states/eV/cell
- Space group: P2_1/m, No. 11

=====

Entry 4:
Material: Nd2TmSe2O2
Method: DFT, PBE-GGA
State: optimized geometry

Structure (POSCAR):
```
Nd2TmSe2O2
1.0
4.278 0.000 0.000
0.000 4.278 0.000
-2.139 -2.139 7.804
Nd Tm Se O
2 1 2 2
Cartesian
0.000 0.000 5.827
2.139 2.139 1.977
0.000 0.000 0.000
0.000 0.000 2.798
2.139 2.139 5.006
0.000 2.139 0.000
2.139 0.000 0.000
```

Values from the calculation:
- ΔE_f (raw): -2.43 eV per atom
- DOS(E_F): 2.6 states/eV/cell
- Space group: I4/mmm, No. 139

=====

Entry 5:
Material: NdUSeO2
Method: DFT, PBE-GGA
State: optimized geometry

Structure (POSCAR):
```
NdUSeO2
1.0
-2.942 -1.382 2.165
2.530 -2.126 2.081
0.906 6.453 1.827
Nd U Se O
1 1 1 2
Cartesian
0.204 1.367 1.149
0.285 1.541 4.894
0.697 4.680 3.934
-1.117 1.686 3.081
1.619 1.314 3.039
```

Values from the calculation:
- ΔE_f (raw): -2.60 eV per atom
- DOS(E_F): 6.9 states/eV/cell
- Space group: I4mm, No. 107

=====

Entry 6:
Material: NdUSe2O
Method: DFT, PBE-GGA
State: optimized geometry

Structure (POSCAR):
```
NdUSe2O
1.0
-1.341 -1.169 -3.621
3.573 -1.707 -0.772
-4.784 -12.669 5.863
Nd U Se O
2 2 4 2
Cartesian
-1.276 -2.187 -1.069
-2.393 -11.920 4.735
-3.452 -7.950 1.599
-0.216 -6.157 2.068
-1.463 -9.457 3.596
1.354 -1.999 0.144
-5.022 -12.108 3.523
-2.206 -4.650 0.071
-2.392 -6.335 2.932
-1.276 -7.772 0.735
```

Values from the calculation:
- ΔE_f (raw): -2.08 eV per atom
- DOS(E_F): 15.6 states/eV/cell
- Space group: P4/nmm, No. 129

=====

Look up the DOS(E_F) of the first one.
2.8 states/eV/cell

=====

Look up the DOS(E_F) of the second one.
0.0 states/eV/cell

=====

What is the DOS(E_F) in the fourth record?
2.6 states/eV/cell

=====

DOS(E_F) of number 4 (Nd2TmSe2O2)?
2.6 states/eV/cell